# CaMn3Bi

Crystalline CaMn3Bi at its relaxed geometry (GGA-PBEsol, Alexandria via LeMat-Bulk).

Cell: 4.8043 4.8043 4.8043 Å, 90.00 90.00 90.00°
Site moments in Bohr magnetons follow the coordinates.
Atoms (fractional coordinates):
Ca 0.0000 0.0000 0.0000  -0.15
Mn 0.5000 0.0000 0.0000  3.55
Mn 0.0000 0.0000 0.5000  3.55
Mn 0.0000 0.5000 0.0000  3.55
Bi 0.5000 0.5000 0.5000  -0.10

Energy of formation: 1724.9 meV per atom
Spin magnetization: 10.94 μB per cell
V: 110.89 Å³/cell
Calculated density: 6.20 g cm⁻³

---

# ZnAs2W

Crystalline ZnAs2W at its relaxed geometry (GGA-PBEsol, Alexandria via LeMat-Bulk).

Cell: 3.2990 3.2990 7.4086 Å, 77.14 77.14 60.00°
Atoms (fractional coordinates):
Zn 0.0000 0.0000 0.0000
As 0.7539 0.7539 0.7383
As 0.2461 0.2461 0.2617
W 0.5000 0.5000 0.5000

Energy of formation: 81.5 meV per atom
Spin magnetization: 0.00 μB per cell
V: 67.48 Å³/cell
Calculated density: 9.82 g cm⁻³

---

What are the DFT total energy values for these records? In order: -0.199 -0.232 hartree per atom.